# 1
DFT (PBE-GGA) results for crystalline BeGaFeRe at its relaxed geometry.

Geometry as POSCAR:
```
BeGaFeRe
1.0
-2.404 -2.855 1.722
-3.124 -1.612 -2.129
0.188 -3.897 -1.293
Be Ga Fe Re
1 1 1 1
direct
0.500 0.500 0.500
0.000 0.000 0.000
0.750 0.750 0.750
0.250 0.250 0.250
```

For the energy above the most stable polymorph in this dataset, the calculation gives 71 meV/atom.

=====

# 2
DFT (PBE-GGA) results for crystalline Nb2PbO6 at its relaxed geometry.

Geometry as POSCAR:
```
Nb2PbO6
1.0
8.553 -2.469 0.000
8.553 2.469 0.000
-0.059 0.000 5.620
Pb O Nb
2 12 4
direct
0.735 0.265 0.750
0.265 0.735 0.250
0.719 0.842 0.645
0.158 0.988 0.595
0.403 0.319 0.064
0.319 0.403 0.564
0.988 0.158 0.095
0.012 0.842 0.905
0.597 0.681 0.936
0.842 0.719 0.145
0.842 0.012 0.405
0.281 0.158 0.355
0.681 0.597 0.436
0.158 0.281 0.855
0.592 0.069 0.319
0.069 0.592 0.819
0.931 0.408 0.181
0.408 0.931 0.681
```

For the energy above the most stable polymorph in this dataset, the calculation gives 12 meV/atom.

=====

What did the first record say?
DFT (PBE-GGA) results for crystalline BeGaFeRe at its relaxed geometry.

Geometry as POSCAR:
```
BeGaFeRe
1.0
-2.404 -2.855 1.722
-3.124 -1.612 -2.129
0.188 -3.897 -1.293
Be Ga Fe Re
1 1 1 1
direct
0.500 0.500 0.500
0.000 0.000 0.000
0.750 0.750 0.750
0.250 0.250 0.250
```

For the energy above the most stable polymorph in this dataset, the calculation gives 71 meV/atom.

=====

Question: Number 2 is which compound?
Answer: Nb2PbO6